PBE BPb, relaxed; DOS at the Fermi energy = 5.16 states/eV per cell; E_tot = -3.92 eV per atom; magnetic moment = 0.00 μB/f.u.; ΔH_f (0 K) = 1.268 eV per atom
1.0
9.554 0.000 0.000
-4.777 8.274 0.000
0.000 0.000 3.892
B Pb
6 6
Cartesian
-1.265 3.419 0.973 B
-1.184 7.660 0.973 B
2.328 2.805 2.919 B
2.449 5.469 0.973 B
5.961 0.614 2.919 B
6.042 4.855 2.919 B
-2.377 5.652 0.973 Pb
1.071 3.390 0.973 Pb
3.471 0.767 2.919 Pb
1.306 7.506 0.973 Pb
3.706 4.884 2.919 Pb
7.154 2.622 2.919 Pb